Record 1
Below is VTe2I after structural relaxation, with properties calculated at the PBE level.

**E above lowest polymorph**: 0 meV/atom
**Fermi-level density of states**: 8.004 states/eV per cell
**Crystal system**: trigonal
**Total moment**: 0.18 μB per atom
**Formation energy (no corrections)**: -16.26 kJ per mole of atoms
**VASP energy**: -4.41 eV/atom

Cell lengths 3.5523, 3.5523, 33.1664 Å; angles 90.00, 90.00, 120.00 degrees
With the nearest neighbours (Å) after each atom.
Space group R-3m (No. 166, hexagonal axes)
Symmetry-distinct sites (fractional):
V  0.0000  0.0000  0.0000  6 Te 2.70
Te  0.0000  0.0000  0.2803  3 V 2.70
I  0.0000  0.0000  0.5000  6 I 3.55

***

Record 2
Below is KTcSb2 after structural relaxation, with properties calculated at the PBE level.

**E above lowest polymorph**: 577 meV/atom
**Fermi-level density of states**: 8.621 states/eV per cell
**Crystal system**: cubic
**Total moment**: 0.00 μB per atom
**Formation energy (no corrections)**: 41.60 kJ per mole of atoms
**VASP energy**: -4.50 eV/atom

Cell lengths 7.0576, 7.0576, 7.0576 Å; angles 90.00, 90.00, 90.00 degrees
With the nearest neighbours (Å) after each atom.
Space group Fm-3m (No. 225)
Symmetry-distinct sites (fractional):
K  0.0000  0.0000  0.0000  8 Sb 3.06
Tc  0.0000  0.0000  0.5000  8 Sb 3.06
Sb  0.2500  0.2500  0.2500  4 K 3.06, 4 Tc 3.06

***

Record 3
Below is Pm2YCo after structural relaxation, with properties calculated at the PBE level.

**E above lowest polymorph**: 149 meV/atom
**Fermi-level density of states**: 5.317 states/eV per cell
**Crystal system**: tetragonal
**Total moment**: 0.41 μB per atom
**ΔH_f (0 K)**: 0.05 eV per atom
**VASP energy**: -5.72 eV/atom

Cell lengths 3.5133, 3.5133, 8.9035 Å; angles 90.00, 90.00, 90.00 degrees
With the nearest neighbours (Å) after each atom.
Space group P4/mmm (No. 123)
Symmetry-distinct sites (fractional):
Pm  0.0000  0.0000  0.1873  4 Co 2.99, 1 Pm 3.34
Y  0.5000  0.5000  0.5000  4 Y 3.51, 8 Pm 3.73
Co  0.5000  0.5000  0.0000  8 Pm 2.99

***

Record 4
Below is Er3UPt12 after structural relaxation, with properties calculated at the PBE level.

**Fermi-level density of states**: 14.291 states/eV per cell
**Crystal system**: tetragonal
**Total moment**: 0.06 μB per atom
**ΔH_f (0 K)**: -1.01 eV per atom
**VASP energy**: -7.10 eV/atom

Cell lengths 4.1154, 4.1154, 16.4191 Å; angles 90.00, 90.00, 90.00 degrees
With the nearest neighbours (Å) after each atom.
Space group P4/mmm (No. 123)
Symmetry-distinct sites (fractional):
Er  0.0000  0.0000  0.0000  12 Pt 2.90-2.91
Er  0.0000  0.0000  0.2462  12 Pt 2.87-2.97
U  0.0000  0.0000  0.5000  12 Pt 2.89-2.91
Pt  0.0000  0.5000  0.1244  4 Er 2.87-2.90, 8 Pt 2.90-2.91
Pt  0.0000  0.5000  0.3767  8 Pt 2.89-2.93, 2 U 2.89, 2 Er 2.97
Pt  0.5000  0.5000  0.0000  8 Pt 2.90, 4 Er 2.91
Pt  0.5000  0.5000  0.2499  4 Er 2.91, 8 Pt 2.91-2.93
Pt  0.5000  0.5000  0.5000  8 Pt 2.89, 4 U 2.91

***

> The lowest VASP energy belongs to which entry?

Er3UPt12

***

> What is the formula in the fourth record?

Er3UPt12

***

> Which value of Fermi-level density of states does entry 4 give?

14.291 states/eV per cell

***

What did the second record say?
Below is KTcSb2 after structural relaxation, with properties calculated at the PBE level.

**E above lowest polymorph**: 577 meV/atom
**Fermi-level density of states**: 8.621 states/eV per cell
**Crystal system**: cubic
**Total moment**: 0.00 μB per atom
**Formation energy (no corrections)**: 41.60 kJ per mole of atoms
**VASP energy**: -4.50 eV/atom

Cell lengths 7.0576, 7.0576, 7.0576 Å; angles 90.00, 90.00, 90.00 degrees
With the nearest neighbours (Å) after each atom.
Space group Fm-3m (No. 225)
Symmetry-distinct sites (fractional):
K  0.0000  0.0000  0.0000  8 Sb 3.06
Tc  0.0000  0.0000  0.5000  8 Sb 3.06
Sb  0.2500  0.2500  0.2500  4 K 3.06, 4 Tc 3.06